Crystalline LiB2C2 at its relaxed geometry. Source: Alexandria, functional PBE-GGA.

Computed properties:
- energy relative to the lowest polymorph listed for this composition (eV per atom) = 0.037
- calculated density (g/cm3) = 1.90
- crystal system = monoclinic
- density of states at the Fermi level (states/eV/f.u.) = 1.10
- space-group type = C2/c (15)
- formation energy from the elements (eV per formula unit) = -0.2

Lattice parameters (Å, degrees): 8.715 7.936 5.413 79.04 60.50 37.57
Fractional positions:
C 0.217 0.556 0.442
C 0.283 0.944 0.558
C 0.205 0.545 0.955
C 0.295 0.955 0.045
C 0.705 0.045 0.455
C 0.795 0.455 0.545
C 0.692 0.035 0.967
C 0.808 0.465 0.033
B 0.960 0.290 0.710
B 0.540 0.210 0.290
B 0.976 0.297 0.194
B 0.524 0.203 0.806
B 0.444 0.783 0.726
B 0.056 0.717 0.274
B 0.458 0.792 0.208
B 0.042 0.708 0.792
Li 0.516 0.487 0.476
Li 0.726 0.770 0.266
Li 0.984 0.013 0.524
Li 0.774 0.730 0.734